A relaxed Pr2NdCd5 crystal. Source: Alexandria, functional PBE.

abc: 5.2485 5.2485 15.6395
angles: 90.00 90.00 90.00
With the nearest neighbours (Å) after each atom.
Space group I4/mmm (No. 139)
One atom of each set of equivalent atoms:
1 Pr 0.0000 0.0000 0.2351 x4  8 Cd 3.22-3.51
2 Nd 0.0000 0.0000 0.5000 x2  8 Cd 3.19
3 Cd 0.0000 0.0000 0.0000 x2  8 Cd 3.19
4 Cd 0.0000 0.5000 0.1162 x8  2 Cd 3.19, 2 Nd 3.19, 4 Pr 3.22-3.51

- ΔH_f (0 K): -317 meV per atom
- Density of states at the Fermi level: 0.713 states/eV per atom